(1)
Th2ZnRh4 | Alexandria via LeMat-Bulk | PBE-GGA | relaxed; E_form = -124 meV/atom; size of the total moment = 0.0 μB per cell; space-group type = I4/mmm
1.0
-2.283 2.283 7.034
2.283 -2.283 7.034
2.283 2.283 -7.034
Th Zn Rh
2 1 4
direct
0.189 0.189 0.000
0.811 0.811 0.000
0.000 0.000 0.000
0.000 0.500 0.500
0.366 0.366 0.000
0.500 0.000 0.500
0.634 0.634 0.000

---

(2)
ThZn2Rh2 | Alexandria via LeMat-Bulk | PBE-GGA | relaxed; E_form = -551 meV/atom; size of the total moment = 0.0 μB per cell; space-group type = C2/m
1.0
3.595 -2.082 0.000
3.595 2.082 0.000
-2.357 0.000 6.055
Th Zn Rh
1 2 2
direct
0.000 0.000 0.000
0.190 0.190 0.569
0.810 0.810 0.431
0.424 0.424 0.272
0.576 0.576 0.728

---

(3)
ThZn5Rh2 | Alexandria via LeMat-Bulk | PBE-GGA | relaxed; E_form = -430 meV/atom; size of the total moment = 0.0 μB per cell; space-group type = Immm
1.0
-1.901 3.963 4.641
1.901 -3.963 4.641
1.901 3.963 -4.641
Th Zn Rh
1 5 2
direct
0.000 0.000 0.000
0.166 0.349 0.816
0.467 0.651 0.816
0.500 0.000 0.500
0.533 0.349 0.184
0.834 0.651 0.184
0.221 0.721 0.500
0.779 0.279 0.500